RbCdIrO6 | PBE | relaxed

abc: 5.756 5.770 5.966
angles: 90.31 90.04 59.74
Positions (direct):
O 0.577 0.054 0.314
O 0.369 0.052 0.682
O 0.052 0.369 0.318
O 0.366 0.580 0.318
O 0.579 0.367 0.684
O 0.053 0.578 0.684
Ir 0.335 0.333 0.500
Rb 0.003 0.000 0.000
Cd 0.667 0.666 0.500

Output
The formation energy (no corrections) comes out at -649.5 meV/atom. The space-group type is P1 (1). The theoretical density comes out at 4716 kg/m3.